Record 1
# PBE-GGA KReAu2, optimized geometry
data_KReAu2
_chemical_formula_sum 'K2 Re2 Au4'
_space_group_name_H-M_alt 'I m m 2'
_space_group_IT_number 44
_space_group_name_Hall 'I 2 -2'
_cell_length_a 2.726
_cell_length_b 5.262
_cell_length_c 11.410
_cell_angle_alpha 90.00
_cell_angle_beta 90.00
_cell_angle_gamma 90.00
loop_
_atom_site_label
_atom_site_type_symbol
_atom_site_fract_x
_atom_site_fract_y
_atom_site_fract_z
_atom_site_occupancy
K1 K 0.000 0.000 0.000 1
Re1 Re 0.000 0.500 0.779 1
Au1 Au 0.000 0.000 0.492 1
Au2 Au 0.000 0.500 0.230 1
# excess energy over the best structure of this formula in the dataset	0.193	eV per atom
# crystal system	orthorhombic
# VASP energy	-4.35	eV per atom
# energy of formation	2.70	eV/f.u.
# D(E_F)	0.387	states/eV/atom


Record 2
# PBE-GGA Sr2Mg6In3, optimized geometry
data_Sr2Mg6In3
_chemical_formula_sum 'Sr2 Mg6 In3'
_space_group_name_H-M_alt 'P -6 2 m'
_space_group_IT_number 189
_space_group_name_Hall 'P -6 -2'
_cell_length_a 8.7808
_cell_length_b 8.7808
_cell_length_c 4.7448
_cell_angle_alpha 90.00
_cell_angle_beta 90.00
_cell_angle_gamma 120.00
loop_
_atom_site_label
_atom_site_type_symbol
_atom_site_fract_x
_atom_site_fract_y
_atom_site_fract_z
_atom_site_occupancy
Sr1 Sr 0.3333 0.6667 0.0000 1
Mg1 Mg 0.0000 0.2733 0.5000 1
Mg2 Mg 0.0000 0.8002 0.0000 1
In1 In 0.0000 0.6086 0.5000 1
# crystal system	hexagonal
# VASP energy	-2.10	eV per atom
# energy of formation	-1.96	eV/f.u.
# D(E_F)	0.549	states/eV/atom


Record 3
# PBE-GGA Pr4TcTe, optimized geometry
data_Pr4TcTe
_chemical_formula_sum 'Pr16 Tc4 Te4'
_space_group_name_H-M_alt 'C 1 2/c 1'
_space_group_IT_number 15
_space_group_name_Hall '-C 2yc'
_cell_length_a 8.835
_cell_length_b 13.524
_cell_length_c 6.592
_cell_angle_alpha 90.00
_cell_angle_beta 107.12
_cell_angle_gamma 90.00
loop_
_atom_site_label
_atom_site_type_symbol
_atom_site_fract_x
_atom_site_fract_y
_atom_site_fract_z
_atom_site_occupancy
Pr1 Pr 0.106 0.171 0.050 1
Pr2 Pr 0.216 0.425 0.404 1
Tc1 Tc 0.000 0.001 0.750 1
Te1 Te 0.000 0.378 0.750 1
# crystal system	monoclinic
# VASP energy	-5.86	eV per atom
# D(E_F)	0.861	states/eV/atom
# formation energy without anion corrections	-41.2	kJ per mole of atoms


Record 4
# PBE-GGA Na2HgBi, optimized geometry
data_Na2HgBi
_chemical_formula_sum 'Na4 Hg2 Bi2'
_space_group_name_H-M_alt 'I m m m'
_space_group_IT_number 71
_space_group_name_Hall '-I 2 2'
_cell_length_a 3.509
_cell_length_b 5.799
_cell_length_c 12.265
_cell_angle_alpha 90.00
_cell_angle_beta 90.00
_cell_angle_gamma 90.00
loop_
_atom_site_label
_atom_site_type_symbol
_atom_site_fract_x
_atom_site_fract_y
_atom_site_fract_z
_atom_site_occupancy
Na1 Na 0.000 0.000 0.241 1
Hg1 Hg 0.000 0.000 0.000 1
Bi1 Bi 0.000 0.000 0.500 1
# crystal system	orthorhombic
# VASP energy	-1.69	eV per atom
# energy of formation	0.06	eV/f.u.
# D(E_F)	0.459	states/eV/atom


Record 5
# PBE-GGA Er3Zr2N4, optimized geometry
data_Er3Zr2N4
_chemical_formula_sum 'Er6 Zr4 N8'
_space_group_name_H-M_alt 'C 1 2/m 1'
_space_group_IT_number 12
_space_group_name_Hall '-C 2y'
_cell_length_a 11.315
_cell_length_b 3.394
_cell_length_c 8.325
_cell_angle_alpha 90.00
_cell_angle_beta 121.96
_cell_angle_gamma 90.00
loop_
_atom_site_label
_atom_site_type_symbol
_atom_site_fract_x
_atom_site_fract_y
_atom_site_fract_z
_atom_site_occupancy
Er1 Er 0.000 0.000 0.000 1
Er2 Er 0.196 0.000 0.797 1
Zr1 Zr 0.111 0.500 0.388 1
N1 N 0.096 0.500 0.893 1
N2 N 0.203 0.000 0.308 1
# crystal system	monoclinic
# VASP energy	-8.69	eV per atom
# D(E_F)	0.321	states/eV/atom
# formation energy without anion corrections	-151.2	kJ per mole of atoms


Record 6
# PBE-GGA Ho2TmU, optimized geometry
data_Ho2TmU
_chemical_formula_sum 'Ho6 Tm3 U3'
_space_group_name_H-M_alt 'R -3 m'
_space_group_IT_number 166
_space_group_name_Hall '-R 3 2"'
_cell_length_a 3.2715
_cell_length_b 3.2715
_cell_length_c 36.2771
_cell_angle_alpha 90.00
_cell_angle_beta 90.00
_cell_angle_gamma 120.00
loop_
_atom_site_label
_atom_site_type_symbol
_atom_site_fract_x
_atom_site_fract_y
_atom_site_fract_z
_atom_site_occupancy
Ho1 Ho 0.0000 0.0000 0.0879 1
Tm1 Tm 0.0000 0.0000 0.5000 1
U1 U 0.0000 0.0000 0.0000 1
# crystal system	trigonal
# VASP energy	-5.80	eV per atom
# energy of formation	1.71	eV/f.u.
# D(E_F)	1.891	states/eV/atom


Record 7
# PBE-GGA Ba2MgAl4Cd3, optimized geometry
data_Ba2MgAl4Cd3
_chemical_formula_sum 'Ba2 Mg1 Al4 Cd3'
_space_group_name_H-M_alt 'P -4 m 2'
_space_group_IT_number 115
_space_group_name_Hall 'P -4 -2'
_cell_length_a 4.718
_cell_length_b 4.718
_cell_length_c 11.903
_cell_angle_alpha 90.00
_cell_angle_beta 90.00
_cell_angle_gamma 90.00
loop_
_atom_site_label
_atom_site_type_symbol
_atom_site_fract_x
_atom_site_fract_y
_atom_site_fract_z
_atom_site_occupancy
Ba1 Ba 0.000 0.500 0.247 1
Mg1 Mg 0.000 0.000 0.500 1
Al1 Al 0.000 0.000 0.000 1
Al2 Al 0.000 0.500 0.635 1
Al3 Al 0.500 0.500 0.000 1
Cd1 Cd 0.000 0.500 0.869 1
Cd2 Cd 0.500 0.500 0.500 1
# crystal system	tetragonal
# VASP energy	-2.50	eV per atom
# energy of formation	-1.81	eV/f.u.
# D(E_F)	0.682	states/eV/atom


Record 8
# PBE-GGA Al2AuCl, optimized geometry
data_Al2AuCl
_chemical_formula_sum 'Al4 Au2 Cl2'
_space_group_name_H-M_alt 'C 1 2/m 1'
_space_group_IT_number 12
_space_group_name_Hall '-C 2y'
_cell_length_a 6.307
_cell_length_b 3.993
_cell_length_c 7.542
_cell_angle_alpha 90.00
_cell_angle_beta 104.39
_cell_angle_gamma 90.00
loop_
_atom_site_label
_atom_site_type_symbol
_atom_site_fract_x
_atom_site_fract_y
_atom_site_fract_z
_atom_site_occupancy
Al1 Al 0.097 0.000 0.320 1
Au1 Au 0.000 0.500 0.500 1
Cl1 Cl 0.000 0.000 0.000 1
# excess energy over the best structure of this formula in the dataset	0.000	eV per atom
# crystal system	monoclinic
# VASP energy	-3.65	eV per atom
# D(E_F)	0.083	states/eV/atom
# formation energy without anion corrections	-48.1	kJ per mole of atoms


Question: Number 5 is which compound?
Answer: Er3Zr2N4


Question: Among the records above, which one has the lowest VASP energy?
Answer: Er3Zr2N4